Cs2BeCl5 (PBE, optimized geometry); E_form (uncorrected) = -136.3 kJ per mole of atoms; calculated volume = 35.37 Å³ per atom; total magnetic moment = 1.12 Bohr magnetons per cell
1.0
-6.313 -3.622 1.245
-1.217 -0.554 -7.262
6.334 -2.421 2.921
Cl Cs Be
5 2 1
direct
0.238 0.238 0.000
0.193 0.193 0.409
0.783 0.783 0.591
0.783 0.193 0.000
0.193 0.783 0.000
0.243 0.743 0.500
0.743 0.243 0.500
0.047 0.047 0.001

KNp2PdS4 (PBE, optimized geometry); E_form (uncorrected) = -120.4 kJ per mole of atoms; calculated volume = 23.24 Å³ per atom; total magnetic moment = 13.99 Bohr magnetons per cell
1.0
4.020 0.000 0.000
-2.010 6.683 0.000
0.000 0.000 13.839
S Np K Pd
8 4 2 2
direct
0.000 0.000 0.500
0.736 0.472 0.897
0.565 0.130 0.250
0.435 0.870 0.750
0.264 0.528 0.397
0.264 0.528 0.103
0.000 0.000 0.000
0.736 0.472 0.603
0.632 0.265 0.435
0.368 0.735 0.935
0.368 0.735 0.565
0.632 0.265 0.065
0.889 0.778 0.250
0.111 0.222 0.750
0.167 0.334 0.250
0.833 0.666 0.750